[1]
LiGdO2 (PBEsol, relaxed); relative energy among the computed polymorphs = 0.0392 eV per atom; E_form (uncorrected) = -2855 meV per atom
1.0
4.464 0.000 0.000
0.000 4.464 0.000
-2.232 -2.232 5.316
Li Gd O
2 2 4
Cartesian
2.232 2.232 0.000 Li
2.232 0.000 2.658 Li
0.000 0.000 0.000 Gd
0.000 2.232 2.658 Gd
0.000 0.000 2.339 O
2.232 2.232 2.977 O
0.000 2.232 0.319 O
0.000 2.232 4.998 O

=====

[2]
LiGdO2 (PBEsol, relaxed); relative energy among the computed polymorphs = 0.0000 eV per atom; E_form (uncorrected) = -2894 meV per atom
1.0
3.406 0.000 0.000
0.000 5.291 0.000
0.000 0.000 11.282
Li Gd O
4 4 8
Cartesian
2.554 2.131 0.745 Li
0.851 4.776 4.896 Li
2.554 0.515 6.386 Li
0.851 3.160 10.537 Li
0.851 2.898 7.221 Gd
2.554 2.392 4.061 Gd
2.554 0.253 9.702 Gd
0.851 5.038 1.580 Gd
0.851 1.292 10.993 O
0.851 1.354 5.352 O
2.554 3.999 0.289 O
2.554 3.937 5.930 O
0.851 4.259 8.987 O
2.554 1.031 2.295 O
2.554 1.614 7.936 O
0.851 3.677 3.346 O

=====

[3]
LiGdP4O12 (PBEsol, relaxed); E_form (uncorrected) = -2477 meV per atom
1.0
7.032 0.000 0.000
3.516 8.171 -0.003
3.516 2.457 7.788
Li Gd P O
2 2 8 24
Cartesian
9.105 6.743 1.945 Li
4.959 3.886 5.840 Li
5.589 6.743 1.945 Gd
8.475 3.886 5.840 Gd
5.974 6.584 5.422 P
9.491 9.359 6.255 P
8.090 4.044 2.362 P
4.574 1.270 1.530 P
3.892 3.730 3.002 P
7.408 1.584 0.891 P
10.173 6.898 4.783 P
6.657 9.045 6.894 P
6.233 7.240 4.104 O
9.750 8.703 7.572 O
7.831 3.388 3.680 O
4.315 1.926 0.212 O
6.430 5.175 5.657 O
6.430 2.596 6.023 O
7.634 5.453 2.128 O
7.634 8.032 1.761 O
12.528 9.818 6.360 O
9.012 6.124 5.316 O
1.537 0.810 1.424 O
5.053 4.504 2.468 O
6.157 1.228 1.820 O
2.641 4.086 2.072 O
7.907 9.400 5.964 O
11.423 6.543 5.713 O
6.480 7.468 6.644 O
9.996 8.475 5.033 O
7.584 3.160 1.141 O
4.068 2.154 2.751 O
10.572 3.925 7.217 O
3.539 3.846 4.463 O
3.493 6.703 0.567 O
10.525 6.782 3.322 O

=====

[4]
LiGd2RuO6 (PBEsol, relaxed); E_form (uncorrected) = -2460 meV per atom
1.0
-3.440 2.534 3.105
1.376 -3.437 4.331
5.487 4.756 2.032
Li Gd Ru O
2 4 2 12
Cartesian
-1.032 -0.452 3.718 Li
2.744 2.378 1.016 Li
0.845 -0.673 6.116 Gd
2.577 4.526 3.351 Gd
-1.410 2.226 5.386 Gd
4.833 1.627 4.081 Gd
1.711 1.926 4.733 Ru
0.000 0.000 0.000 Ru
0.790 0.358 4.056 O
2.633 3.495 5.411 O
1.022 1.316 0.995 O
2.401 2.536 8.472 O
0.640 1.821 6.356 O
2.782 2.031 3.110 O
-1.868 1.386 3.060 O
5.291 2.466 6.407 O
0.387 3.102 3.897 O
3.036 0.750 5.569 O
-1.544 -0.070 5.741 O
4.967 3.923 3.726 O

=====

[5]
LiGdW2O8 (PBEsol, relaxed); E_form (uncorrected) = -2476 meV per atom
1.0
5.168 0.000 0.000
0.000 5.168 0.000
-2.584 -2.584 5.495
Li Gd W O
1 1 2 8
Cartesian
2.584 0.000 2.748 Li
0.000 0.000 0.000 Gd
0.000 2.584 2.748 W
2.584 2.584 0.000 W
4.334 3.832 1.751 O
0.835 1.336 1.751 O
-1.264 -0.845 4.524 O
1.264 0.845 4.524 O
3.429 1.320 0.972 O
1.739 3.848 0.972 O
1.248 -1.749 3.745 O
-1.248 1.749 3.745 O

=====

[6]
LiGd2Os (PBEsol, relaxed); energy relative to the elements = -172 meV per atom
1.0
-2.216 3.628 -2.371
-0.283 -0.083 -4.858
-4.285 -0.774 -2.175
Gd Os Li
2 1 1
Cartesian
-1.696 0.693 -2.351 Gd
-5.088 2.078 -7.053 Gd
0.000 0.000 0.000 Os
-3.392 1.386 -4.702 Li

=====

[7]
LiGdS2 (PBEsol, relaxed); E_form (uncorrected) = -1871 meV per atom
1.0
3.908 0.000 0.000
1.954 3.385 0.000
1.954 1.128 6.059
S Gd Li
2 1 1
Cartesian
5.862 3.385 4.519 S
1.954 1.128 1.540 S
0.000 0.000 0.000 Gd
3.908 2.256 3.030 Li

=====

[8]
LiGdS2 (PBEsol, relaxed); E_form (uncorrected) = -1806 meV per atom
1.0
3.900 0.000 0.000
0.000 3.900 0.000
0.000 0.000 5.311
S Gd Li
2 1 1
Cartesian
1.950 1.950 0.000 S
0.000 0.000 2.656 S
0.000 0.000 0.000 Gd
1.950 1.950 2.656 Li

=====

[9]
LiGdTl2 (PBEsol, relaxed); energy relative to the elements = -392 meV per atom
1.0
-2.684 0.054 -4.366
1.244 -3.192 -3.813
-3.081 -3.928 -1.163
Tl Gd Li
2 1 1
Cartesian
-1.130 -1.766 -2.335 Tl
-3.390 -5.299 -7.006 Tl
-2.260 -3.533 -4.671 Gd
0.000 0.000 0.000 Li

=====

[10]
LiGd2Tl (PBEsol, relaxed); energy relative to the elements = -258 meV per atom
1.0
5.255 0.000 0.000
2.628 4.551 0.000
2.628 1.517 4.291
Tl Gd Li
1 2 1
Cartesian
5.255 3.034 2.146 Tl
2.628 1.517 1.073 Gd
7.883 4.551 3.218 Gd
0.000 0.000 0.000 Li

=====

[11]
GdLuRh2 (PBEsol, relaxed); energy relative to the elements = -849 meV per atom
1.0
4.737 0.000 0.000
2.368 4.102 0.000
2.368 1.367 3.868
Gd Lu Rh
1 1 2
Cartesian
4.737 2.735 1.934 Gd
0.000 0.000 0.000 Lu
2.368 1.367 0.967 Rh
7.105 4.102 2.901 Rh

=====

[12]
GdMg (PBEsol, relaxed); energy relative to the elements = -89 meV per atom
1.0
3.777 0.000 0.000
0.000 3.777 0.000
0.000 0.000 3.777
Mg Gd
1 1
Cartesian
0.000 0.000 0.000 Mg
1.888 1.888 1.888 Gd

=====

[13]
GdMgPd (PBEsol, relaxed); energy relative to the elements = -649 meV per atom
1.0
4.035 0.000 0.000
0.000 7.417 0.000
0.000 -3.709 6.423
Gd Mg Pd
3 3 3
Cartesian
0.000 -1.533 2.654 Gd
0.000 3.065 0.000 Gd
0.000 2.176 3.769 Gd
2.017 -2.806 4.860 Mg
2.017 5.611 0.000 Mg
2.017 0.903 1.564 Mg
2.017 3.709 2.141 Pd
2.017 0.000 4.282 Pd
0.000 0.000 0.000 Pd

=====

[14]
PmGdMg2 (PBEsol, relaxed); energy relative to the elements = -92 meV per atom
1.0
-3.386 2.833 3.042
-4.540 1.917 -2.113
-4.720 -2.103 1.430
Mg Gd Pm
2 1 1
Cartesian
-3.162 0.662 0.590 Mg
-9.485 1.985 1.769 Mg
-6.323 1.323 1.179 Gd
0.000 0.000 0.000 Pm

=====

[15]
GdMgRh2 (PBEsol, relaxed); energy relative to the elements = -609 meV per atom
1.0
-3.360 1.516 -2.754
-4.255 -1.704 0.408
-3.373 2.619 1.713
Mg Gd Rh
1 1 2
Cartesian
0.000 0.000 0.000 Mg
-5.494 1.216 -0.317 Gd
-8.241 1.823 -0.475 Rh
-2.747 0.608 -0.158 Rh

=====

[16]
Gd2MgSe4 (PBEsol, relaxed); E_form (uncorrected) = -1678 meV per atom
1.0
7.437 -0.001 -0.001
-2.625 6.958 0.001
-2.625 -3.327 6.111
Gd Mg Se
4 2 8
Cartesian
2.347 0.948 3.050 Gd
-1.371 -0.346 3.820 Gd
-1.472 3.590 4.589 Gd
4.871 3.069 0.763 Gd
0.000 0.000 0.000 Mg
1.094 4.386 1.528 Mg
4.574 0.014 1.444 Se
-3.059 1.398 5.408 Se
-0.352 2.209 2.298 Se
3.211 3.640 3.072 Se
0.660 1.509 5.341 Se
3.366 -1.610 4.566 Se
2.118 1.713 0.083 Se
-1.769 5.648 2.232 Se

=====

[17]
GdMgTl (PBEsol, relaxed); energy relative to the elements = -395 meV per atom
1.0
-1.663 -2.011 3.822
1.283 -6.769 -3.004
5.330 3.367 4.092
Tl Gd Mg
3 3 3
Cartesian
1.801 -4.396 1.272 Tl
0.000 0.000 0.000 Tl
3.149 -1.017 3.637 Tl
3.782 -1.945 0.622 Gd
2.282 1.442 1.752 Gd
0.549 -2.898 -1.286 Gd
0.140 -6.128 -0.363 Mg
0.777 -1.833 2.175 Mg
3.202 1.543 5.007 Mg

=====

[18]
Gd2MnSbO7 (PBEsol, relaxed); E_form (uncorrected) = -2496 meV per atom
1.0
-2.068 6.672 1.533
-6.420 1.102 3.221
-0.136 2.199 6.925
Gd Mn Sb O
4 2 2 14
Cartesian
-4.244 3.887 2.377 Gd
-3.210 0.551 1.610 Gd
-3.278 1.651 5.073 Gd
0.000 0.000 0.000 Gd
-0.068 1.100 3.462 Mn
-1.102 4.435 4.229 Mn
-1.034 3.336 0.767 Sb
-4.312 4.986 5.839 Sb
-4.293 1.794 3.080 O
-4.331 8.179 8.599 O
-7.687 7.470 7.157 O
-3.102 4.989 7.459 O
-7.691 8.400 10.006 O
-3.082 4.072 4.579 O
-6.835 5.639 9.372 O
-3.938 6.832 5.214 O
-0.937 2.503 4.522 O
-5.522 4.984 4.220 O
-0.933 1.573 1.672 O
-5.542 5.901 7.099 O
-1.789 4.334 2.307 O
-4.686 3.141 6.465 O

=====

[19]
GdMnSi (PBEsol, relaxed); E_form (uncorrected) = -568 meV per atom
1.0
3.902 0.000 0.000
0.000 3.902 0.000
0.000 0.000 7.036
Gd Mn Si
2 2 2
Cartesian
0.000 1.951 2.347 Gd
1.951 0.000 4.689 Gd
0.000 0.000 0.000 Mn
1.951 1.951 0.000 Mn
0.000 1.951 5.637 Si
1.951 0.000 1.399 Si

=====

[20]
Gd2MoO6 (PBEsol, relaxed); E_form (uncorrected) = -2953 meV per atom
1.0
5.383 -0.004 -0.003
2.542 9.567 0.005
2.542 3.125 9.042
Gd Mo O
8 4 24
Cartesian
3.735 4.945 1.933 Gd
6.733 7.742 7.111 Gd
6.580 7.048 3.532 Gd
3.888 5.639 5.513 Gd
6.426 3.438 4.043 Gd
6.580 3.988 7.825 Gd
4.041 9.249 5.001 Gd
3.888 8.700 1.219 Gd
6.658 11.652 6.362 Mo
3.810 1.036 2.682 Mo
1.118 2.875 0.106 Mo
9.350 9.813 8.938 Mo
5.276 7.404 5.501 O
2.585 1.591 3.911 O
1.943 3.306 1.638 O
7.744 9.473 2.957 O
5.052 5.887 7.992 O
2.724 3.214 6.087 O
5.833 10.063 6.455 O
5.276 4.214 0.227 O
2.500 5.075 3.840 O
7.883 11.096 5.133 O
7.281 11.878 8.018 O
7.844 5.753 7.330 O
2.624 6.934 1.714 O
5.315 3.880 5.995 O
5.416 6.800 1.052 O
0.495 1.236 0.432 O
3.187 0.809 1.026 O
5.153 8.808 3.049 O
4.635 2.625 2.589 O
9.973 11.452 8.612 O
8.525 9.382 7.406 O
5.192 5.283 3.543 O
7.968 7.613 5.204 O
5.192 8.474 8.817 O

=====

[21]
GdN (PBEsol, relaxed); E_form (uncorrected) = -1750 meV per atom
1.0
-0.905 -1.870 -2.794
0.354 -3.464 0.034
-2.821 -2.038 0.108
Gd N
1 1
Cartesian
0.000 0.000 0.000 Gd
-1.686 -3.686 -1.326 N

=====

[22]
GdThN2 (PBEsol, relaxed); E_form (uncorrected) = -1740 meV per atom
1.0
-1.326 -3.298 -0.340
2.186 -2.822 0.090
-0.373 -2.360 5.662
Gd Th N
1 1 2
Cartesian
0.243 -4.240 2.706 Gd
-0.373 -2.360 5.661 Th
0.122 -2.121 1.354 N
0.365 -6.360 4.057 N

=====

Number 1: calculated total energy -9.583 eV/atom. Number 2: calculated total energy -9.622 eV/atom. Number 3: calculated total energy -8.176 eV/atom. Number 4: calculated total energy -9.714 eV/atom. Number 5: calculated total energy -9.644 eV/atom. Number 6: calculated total energy -10.942 eV/atom. Number 7: calculated total energy -8.167 eV/atom. Number 8: calculated total energy -8.102 eV/atom. Number 9: calculated total energy -5.811 eV/atom. Number 10: calculated total energy -8.632 eV/atom. Number 11: calculated total energy -9.749 eV/atom. Number 12: calculated total energy -8.172 eV/atom. Number 13: calculated total energy -8.023 eV/atom. Number 14: calculated total energy -5.847 eV/atom. Number 15: calculated total energy -8.719 eV/atom. Number 16: calculated total energy -8.251 eV/atom. Number 17: calculated total energy -6.661 eV/atom. Number 18: calculated total energy -9.765 eV/atom. Number 19: calculated total energy -10.554 eV/atom. Number 20: calculated total energy -10.970 eV/atom. Number 21: calculated total energy -13.238 eV/atom. Number 22: calculated total energy -11.642 eV/atom.